[1]
This record from Alexandria via LeMat-Bulk describes a relaxed structure of CsI2O4. The functional is PBE.

As for the magnetization: 0.0 μB per formula unit. As for the total energy: -54.43 eV per cell.

The space group is C2/m (No. 12) and the conventional cell measures 6.4508, 6.4234 and 8.5962 Å, with angles of 90.00, 92.21 and 90.00 degrees. The asymmetric unit holds Cs at (0.0000, 0.0000, 0.0000), I at (0.0066, 0.5000, 0.7092) and O at (0.1886, 0.2764, 0.7410).

---

[2]
This record from Alexandria via LeMat-Bulk describes a relaxed structure of Zr2IrPd. The functional is PBE.

As for the magnetization: 0.0 μB per formula unit. The formation energy is -0.709 eV per atom. As for the total energy: -33.99 eV per cell.

The space group is P4/mmm (No. 123) and the conventional cell measures 4.7065, 4.7065 and 3.3324 Å, with angles of 90.00, 90.00 and 90.00 degrees. The asymmetric unit holds Zr at (0.0000, 0.5000, 0.0000), Ir at (0.0000, 0.0000, 0.5000) and Pd at (0.5000, 0.5000, 0.5000).

---

[3]
This record from Alexandria via LeMat-Bulk describes a relaxed structure of LaHo4Er. The functional is PBE.

As for the magnetization: 0.0 μB per formula unit. The formation energy is 0.202 eV per atom. The excess energy over the best structure of this formula in the dataset is 0 meV per atom. As for the total energy: -26.59 eV per cell.

The space group is Pmmm (No. 47) and the conventional cell measures 3.4193, 5.7972 and 10.0071 Å, with angles of 90.00, 90.00 and 90.00 degrees. The asymmetric unit holds La at (0.0000, 0.0000, 0.0000), Ho at (0.0000, 0.5000, 0.1950), Ho at (0.5000, 0.0000, 0.3177) and Er at (0.5000, 0.5000, 0.5000).

---

[4]
This record from Alexandria via LeMat-Bulk describes a relaxed structure of W2IN2. The functional is PBE.

As for the magnetization: 0.0 μB per formula unit. The excess energy over the best structure of this formula in the dataset is 487 meV per atom. As for the total energy: -78.38 eV per cell.

The space group is P4/mbm (No. 127) and the conventional cell measures 7.3842, 7.3842 and 2.8127 Å, with angles of 90.00, 90.00 and 90.00 degrees. The asymmetric unit holds W at (0.1145, 0.3855, 0.0000), I at (0.0000, 0.0000, 0.0000) and N at (0.1160, 0.6160, 0.5000).

---

[5]
This record from Alexandria via LeMat-Bulk describes a relaxed structure of PrUP2. The functional is PBE.

As for the magnetization: 2.4 μB per formula unit. The formation energy is -1.182 eV per atom. The excess energy over the best structure of this formula in the dataset is 55 meV per atom. As for the total energy: -31.62 eV per cell.

The space group is P4/mmm (No. 123) and the conventional cell measures 4.0716, 4.0716 and 5.7518 Å, with angles of 90.00, 90.00 and 90.00 degrees. The asymmetric unit holds Pr at (0.0000, 0.0000, 0.0000), U at (0.5000, 0.5000, 0.5000), P at (0.0000, 0.0000, 0.5000) and P at (0.5000, 0.5000, 0.0000).

---

Question: Which of these has the highest magnetization?
Answer: PrUP2